Density functional theory data (PBE with a Hubbard U) for crystalline CoHO2 at its relaxed geometry.

## Properties
VASP energy, eV per atom: -5.5772
Space group: No. 2

POSCAR file:
```
CoHO2
1.0
4.887 -0.010 -0.007
1.913 4.678 -0.050
0.469 0.144 5.916
Co H O
4 4 8
direct
0.501 0.256 0.127
0.504 0.755 0.378
0.496 0.245 0.622
0.499 0.744 0.873
0.954 0.779 0.138
0.047 0.722 0.607
0.953 0.278 0.393
0.046 0.221 0.862
0.300 0.664 0.142
0.272 0.652 0.617
0.296 0.163 0.386
0.270 0.154 0.874
0.730 0.846 0.126
0.704 0.837 0.614
0.728 0.348 0.383
0.700 0.336 0.858
```